1.
Here is ZnCo2 after structural relaxation from Alexandria via LeMat-Bulk. Energies are from PBE.

The structure in POSCAR format:
```
ZnCo2
1.0
-1.316 1.316 5.064
1.316 -1.316 5.064
1.316 1.316 -5.064
Zn Co
1 2
Direct
0.000 0.000 0.000
0.324 0.324 0.000
0.676 0.676 0.000
```

## Properties
D(E_F): 1.972 states/eV/cell
energy of formation from the pure elements: -0.40 kcal/mol of atoms
magnetic moment: 0.884 μB/atom
space group: I4/mmm

***

2.
Here is ZnCo after structural relaxation from Alexandria via LeMat-Bulk. Energies are from PBE.

The structure in POSCAR format:
```
ZnCo
1.0
4.125 0.000 0.000
-2.062 3.572 0.000
0.000 0.000 4.764
Zn Co
2 2
Direct
0.333 0.667 0.250
0.667 0.333 0.750
0.333 0.667 0.750
0.667 0.333 0.250
```

## Properties
D(E_F): 7.338 states/eV/cell
energy of formation from the pure elements: 20.10 kcal/mol of atoms
magnetic moment: 0.635 μB/atom
space group: P6_3/mmc

***

3.
Here is ZnCo2 after structural relaxation from Alexandria via LeMat-Bulk. Energies are from PBE.

The structure in POSCAR format:
```
ZnCo2
1.0
4.031 0.000 0.000
-2.016 3.491 0.000
0.000 0.000 2.532
Zn Co
1 2
Direct
0.000 0.000 0.000
0.333 0.667 0.391
0.667 0.333 0.609
```

## Properties
D(E_F): 3.516 states/eV/cell
energy of formation from the pure elements: 1.49 kcal/mol of atoms
magnetic moment: 1.027 μB/atom
space group: P-3m1

***

4.
Here is Zn3Co after structural relaxation from Alexandria via LeMat-Bulk. Energies are from PBE.

The structure in POSCAR format:
```
Zn3Co
1.0
2.613 -3.824 0.000
2.613 3.824 0.000
0.000 0.000 2.656
Zn Co
3 1
Direct
0.000 0.000 0.000
0.000 0.500 0.500
0.500 0.000 0.500
0.500 0.500 0.000
```

## Properties
D(E_F): 3.074 states/eV/cell
energy of formation from the pure elements: 0.19 kcal/mol of atoms
magnetic moment: 0.307 μB/atom
space group: Cmmm

***

5.
Here is ZnCo after structural relaxation from Alexandria via LeMat-Bulk. Energies are from PBE.

The structure in POSCAR format:
```
ZnCo
1.0
8.857 0.000 0.000
0.000 4.211 0.000
0.000 0.000 5.258
Zn Co
8 8
Direct
0.087 0.250 0.001
0.167 0.750 0.252
0.333 0.250 0.752
0.413 0.750 0.501
0.587 0.250 0.499
0.667 0.750 0.248
0.833 0.250 0.748
0.913 0.750 0.999
0.087 0.250 0.500
0.159 0.750 0.738
0.341 0.250 0.238
0.413 0.750 0.000
0.587 0.250 0.000
0.659 0.750 0.762
0.841 0.250 0.262
0.913 0.750 0.500
```

## Properties
D(E_F): 14.937 states/eV/cell
energy of formation from the pure elements: 0.65 kcal/mol of atoms
magnetic moment: 0.690 μB/atom
space group: Pnma

***

6.
Here is ZnCo after structural relaxation from Alexandria via LeMat-Bulk. Energies are from PBE.

The structure in POSCAR format:
```
ZnCo
1.0
2.615 0.000 0.000
-1.307 2.265 0.000
0.000 0.000 8.477
Zn Co
2 2
Direct
0.333 0.667 0.362
0.667 0.333 0.638
0.333 0.667 0.889
0.667 0.333 0.111
```

## Properties
D(E_F): 2.711 states/eV/cell
energy of formation from the pure elements: 0.52 kcal/mol of atoms
magnetic moment: 0.833 μB/atom
space group: P-3m1

***

7.
Here is Zn8Co after structural relaxation from Alexandria via LeMat-Bulk. Energies are from PBE.

The structure in POSCAR format:
```
Zn8Co
1.0
-4.107 4.107 1.868
4.107 -4.107 1.868
4.107 4.107 -1.868
Zn Co
8 1
Direct
0.000 0.328 0.328
0.000 0.672 0.672
0.328 0.000 0.328
0.340 0.340 0.680
0.340 0.660 0.000
0.660 0.340 0.000
0.660 0.660 0.320
0.672 0.000 0.672
0.000 0.000 0.000
```

## Properties
D(E_F): 4.258 states/eV/cell
energy of formation from the pure elements: 0.35 kcal/mol of atoms
magnetic moment: 0.000 μB/atom
space group: I4/mmm

***

8.
Here is ZnCo after structural relaxation from Alexandria via LeMat-Bulk. Energies are from PBE.

The structure in POSCAR format:
```
ZnCo
1.0
6.646 0.000 0.000
0.000 6.646 0.000
0.000 0.000 6.646
Zn Co
6 6
Direct
0.000 0.250 0.500
0.000 0.750 0.500
0.250 0.500 0.000
0.500 0.000 0.250
0.500 0.000 0.750
0.750 0.500 0.000
0.000 0.500 0.250
0.000 0.500 0.750
0.250 0.000 0.500
0.500 0.250 0.000
0.500 0.750 0.000
0.750 0.000 0.500
```

## Properties
D(E_F): 23.655 states/eV/cell
energy of formation from the pure elements: 29.86 kcal/mol of atoms
magnetic moment: 0.670 μB/atom
space group: Pm-3n

***

9.
Here is Zn3Co after structural relaxation from Alexandria via LeMat-Bulk. Energies are from PBE.

The structure in POSCAR format:
```
Zn3Co
1.0
-1.854 1.854 7.548
1.854 -1.854 7.548
1.854 1.854 -7.548
Zn Co
6 2
Direct
0.000 0.500 0.500
0.127 0.127 0.000
0.250 0.750 0.500
0.500 0.000 0.500
0.750 0.250 0.500
0.873 0.873 0.000
0.380 0.380 0.000
0.620 0.620 0.000
```

## Properties
D(E_F): 3.744 states/eV/cell
energy of formation from the pure elements: -1.18 kcal/mol of atoms
magnetic moment: 0.001 μB/atom
space group: I4/mmm

***

10.
Here is ZnCo3 after structural relaxation from Alexandria via LeMat-Bulk. Energies are from PBE.

The structure in POSCAR format:
```
ZnCo3
1.0
-1.796 1.796 7.149
1.796 -1.796 7.149
1.796 1.796 -7.149
Zn Co
2 6
Direct
0.125 0.125 0.000
0.875 0.875 0.000
0.000 0.500 0.500
0.250 0.750 0.500
0.373 0.373 0.000
0.500 0.000 0.500
0.627 0.627 0.000
0.750 0.250 0.500
```

## Properties
D(E_F): 13.720 states/eV/cell
energy of formation from the pure elements: 1.55 kcal/mol of atoms
magnetic moment: 1.113 μB/atom
space group: I4/mmm

***

11.
Here is ZnCo after structural relaxation from Alexandria via LeMat-Bulk. Energies are from PBE.

The structure in POSCAR format:
```
ZnCo
1.0
2.608 0.000 0.000
-1.304 2.258 0.000
0.000 0.000 4.181
Zn Co
1 1
Direct
0.000 0.000 0.000
0.667 0.333 0.500
```

## Properties
D(E_F): 1.762 states/eV/cell
energy of formation from the pure elements: 0.87 kcal/mol of atoms
magnetic moment: 0.716 μB/atom
space group: P-6m2

***

12.
Here is Zn2Co after structural relaxation from Alexandria via LeMat-Bulk. Energies are from PBE.

The structure in POSCAR format:
```
Zn2Co
1.0
1.325 -6.950 0.000
1.325 6.950 0.000
0.000 0.000 4.271
Zn Co
4 2
Direct
0.063 0.937 0.750
0.377 0.623 0.750
0.623 0.377 0.250
0.937 0.063 0.250
0.277 0.723 0.250
0.723 0.277 0.750
```

## Properties
D(E_F): 4.375 states/eV/cell
energy of formation from the pure elements: 0.79 kcal/mol of atoms
magnetic moment: 0.425 μB/atom
space group: Cmcm

***

13.
Here is ZnCo after structural relaxation from Alexandria via LeMat-Bulk. Energies are from PBE.

The structure in POSCAR format:
```
ZnCo
1.0
3.867 0.000 0.000
-1.934 3.349 0.000
0.000 0.000 4.596
Zn Co
2 2
Direct
0.333 0.667 0.250
0.667 0.333 0.750
0.000 0.000 0.000
0.000 0.000 0.500
```

## Properties
D(E_F): 6.866 states/eV/cell
energy of formation from the pure elements: 10.53 kcal/mol of atoms
magnetic moment: 0.653 μB/atom
space group: P6_3/mmc

***

14.
Here is Zn2Co after structural relaxation from Alexandria via LeMat-Bulk. Energies are from PBE.

The structure in POSCAR format:
```
Zn2Co
1.0
7.230 0.000 0.000
-3.615 6.261 0.000
0.000 0.000 2.570
Zn Co
6 3
Direct
0.000 0.301 0.000
0.000 0.633 0.500
0.301 0.000 0.000
0.367 0.367 0.500
0.633 0.000 0.500
0.699 0.699 0.000
0.000 0.000 0.500
0.333 0.667 0.000
0.667 0.333 0.000
```

## Properties
D(E_F): 4.582 states/eV/cell
energy of formation from the pure elements: 0.69 kcal/mol of atoms
magnetic moment: 0.307 μB/atom
space group: P-62m

***

15.
Here is ZnCo2 after structural relaxation from Alexandria via LeMat-Bulk. Energies are from PBE.

The structure in POSCAR format:
```
ZnCo2
1.0
2.564 0.000 0.000
-1.282 2.220 0.000
0.000 0.000 6.241
Zn Co
1 2
Direct
0.000 0.000 0.000
0.333 0.667 0.653
0.667 0.333 0.347
```

## Properties
D(E_F): 2.149 states/eV/cell
energy of formation from the pure elements: 0.42 kcal/mol of atoms
magnetic moment: 1.039 μB/atom
space group: P-3m1

***

16.
Here is ZnCo2 after structural relaxation from Alexandria via LeMat-Bulk. Energies are from PBE.

The structure in POSCAR format:
```
ZnCo2
1.0
1.296 -6.513 0.000
1.296 6.513 0.000
0.000 0.000 4.160
Zn Co
2 4
Direct
0.109 0.891 0.750
0.891 0.109 0.250
0.221 0.779 0.250
0.441 0.559 0.750
0.559 0.441 0.250
0.779 0.221 0.750
```

## Properties
D(E_F): 6.091 states/eV/cell
energy of formation from the pure elements: 0.51 kcal/mol of atoms
magnetic moment: 0.965 μB/atom
space group: Cmcm

***

17.
Here is Zn3Co after structural relaxation from Alexandria via LeMat-Bulk. Energies are from PBE.

The structure in POSCAR format:
```
Zn3Co
1.0
0.000 2.963 2.963
2.963 0.000 2.963
2.963 2.963 0.000
Zn Co
3 1
Direct
0.000 0.000 0.000
0.250 0.250 0.250
0.750 0.750 0.750
0.500 0.500 0.500
```

## Properties
D(E_F): 3.192 states/eV/cell
energy of formation from the pure elements: 0.42 kcal/mol of atoms
magnetic moment: 0.001 μB/atom
space group: Fm-3m

***

18.
Here is Zn2Co after structural relaxation from Alexandria via LeMat-Bulk. Energies are from PBE.

The structure in POSCAR format:
```
Zn2Co
1.0
-1.848 1.848 11.142
1.848 -1.848 11.142
1.848 1.848 -11.142
Zn Co
8 4
Direct
0.124 0.374 0.750
0.288 0.538 0.750
0.374 0.124 0.250
0.462 0.712 0.750
0.538 0.288 0.250
0.626 0.876 0.750
0.712 0.462 0.250
0.876 0.626 0.250
0.044 0.794 0.250
0.206 0.956 0.250
0.794 0.044 0.750
0.956 0.206 0.750
```

## Properties
D(E_F): 11.656 states/eV/cell
energy of formation from the pure elements: -0.28 kcal/mol of atoms
magnetic moment: 0.221 μB/atom
space group: I4_1/amd

***

19.
Here is Zn2Co after structural relaxation from Alexandria via LeMat-Bulk. Energies are from PBE.

The structure in POSCAR format:
```
Zn2Co
1.0
1.425 -6.417 0.000
1.425 6.417 0.000
0.000 0.000 4.141
Zn Co
4 2
Direct
0.063 0.937 0.750
0.266 0.734 0.250
0.734 0.266 0.750
0.937 0.063 0.250
0.399 0.601 0.750
0.601 0.399 0.250
```

## Properties
D(E_F): 4.159 states/eV/cell
energy of formation from the pure elements: -0.30 kcal/mol of atoms
magnetic moment: 0.000 μB/atom
space group: Cmcm

***

20.
Here is ZnCo2 after structural relaxation from Alexandria via LeMat-Bulk. Energies are from PBE.

The structure in POSCAR format:
```
ZnCo2
1.0
4.664 -1.293 0.000
4.664 1.293 0.000
-1.740 0.000 5.844
Zn Co
2 4
Direct
0.186 0.186 0.136
0.814 0.814 0.864
0.137 0.137 0.529
0.473 0.473 0.216
0.527 0.527 0.784
0.863 0.863 0.471
```

## Properties
D(E_F): 4.309 states/eV/cell
energy of formation from the pure elements: 0.32 kcal/mol of atoms
magnetic moment: 0.950 μB/atom
space group: C2/m

***

21.
Here is Zn3Co after structural relaxation from Alexandria via LeMat-Bulk. Energies are from PBE.

The structure in POSCAR format:
```
Zn3Co
1.0
2.659 0.000 0.000
0.000 3.732 0.000
0.000 0.000 5.331
Zn Co
3 1
Direct
0.000 0.000 0.000
0.500 0.500 0.267
0.500 0.500 0.733
0.000 0.000 0.500
```

## Properties
D(E_F): 3.024 states/eV/cell
energy of formation from the pure elements: 0.27 kcal/mol of atoms
magnetic moment: 0.208 μB/atom
space group: Pmmm

***

22.
Here is ZnCo3 after structural relaxation from Alexandria via LeMat-Bulk. Energies are from PBE.

The structure in POSCAR format:
```
ZnCo3
1.0
4.140 0.000 0.000
0.000 5.044 0.000
0.000 0.000 4.406
Zn Co
2 6
Direct
0.250 0.250 0.160
0.750 0.750 0.840
0.250 0.504 0.660
0.250 0.750 0.170
0.250 0.996 0.660
0.750 0.004 0.340
0.750 0.250 0.830
0.750 0.496 0.340
```

## Properties
D(E_F): 9.324 states/eV/cell
energy of formation from the pure elements: 0.85 kcal/mol of atoms
magnetic moment: 1.116 μB/atom
space group: Pmmn

***

23.
Here is ZnCo5 after structural relaxation from Alexandria via LeMat-Bulk. Energies are from PBE.

The structure in POSCAR format:
```
ZnCo5
1.0
4.092 0.000 0.000
0.000 1.265 6.539
0.000 -1.265 6.539
Zn Co
1 5
Direct
0.000 0.000 0.000
0.000 0.330 0.330
0.000 0.671 0.671
0.500 0.114 0.114
0.500 0.441 0.441
0.500 0.777 0.777
```

## Properties
D(E_F): 5.751 states/eV/cell
energy of formation from the pure elements: 0.48 kcal/mol of atoms
magnetic moment: 1.294 μB/atom
space group: Amm2

***

24.
Here is Zn5Co after structural relaxation from Alexandria via LeMat-Bulk. Energies are from PBE.

The structure in POSCAR format:
```
Zn5Co
1.0
2.345 -4.040 0.000
2.345 4.040 0.000
-1.675 0.000 4.306
Zn Co
5 1
Direct
0.000 0.000 0.000
0.169 0.831 0.500
0.341 0.659 0.000
0.659 0.341 0.000
0.831 0.169 0.500
0.500 0.500 0.500
```

## Properties
D(E_F): 3.034 states/eV/cell
energy of formation from the pure elements: 0.01 kcal/mol of atoms
magnetic moment: 0.088 μB/atom
space group: C2/m

***

25.
Here is ZnCo2 after structural relaxation from Alexandria via LeMat-Bulk. Energies are from PBE.

The structure in POSCAR format:
```
ZnCo2
1.0
-1.248 2.004 7.695
1.248 -2.004 7.695
1.248 2.004 -7.695
Zn Co
2 4
Direct
0.371 0.121 0.250
0.629 0.879 0.750
0.063 0.313 0.750
0.213 0.463 0.750
0.787 0.537 0.250
0.937 0.687 0.250
```

## Properties
D(E_F): 7.308 states/eV/cell
energy of formation from the pure elements: 5.46 kcal/mol of atoms
magnetic moment: 0.886 μB/atom
space group: Imma

***

26.
Here is Zn2Co after structural relaxation from Alexandria via LeMat-Bulk. Energies are from PBE.

The structure in POSCAR format:
```
Zn2Co
1.0
4.154 0.000 0.000
-2.077 3.598 0.000
0.000 0.000 2.568
Zn Co
2 1
Direct
0.333 0.667 0.382
0.667 0.333 0.618
0.000 0.000 0.000
```

## Properties
D(E_F): 1.656 states/eV/cell
energy of formation from the pure elements: 0.51 kcal/mol of atoms
magnetic moment: 0.335 μB/atom
space group: P-3m1

***

27.
Here is Zn3Co after structural relaxation from Alexandria via LeMat-Bulk. Energies are from PBE.

The structure in POSCAR format:
```
Zn3Co
1.0
2.694 0.000 0.000
-1.347 2.333 0.000
0.000 0.000 8.572
Zn Co
3 1
Direct
0.000 0.000 0.000
0.333 0.667 0.267
0.333 0.667 0.733
0.000 0.000 0.500
```

## Properties
D(E_F): 3.006 states/eV/cell
energy of formation from the pure elements: 0.47 kcal/mol of atoms
magnetic moment: 0.282 μB/atom
space group: P-6m2